VASP calculation (PBEsol) on crystalline BaTm2O4 at its relaxed geometry.

Lattice parameters (Å, degrees): 5.7774 5.7774 11.2651 90.00 90.00 146.18
Fractional positions:
Ba 0.1130 0.8870 0.7500
Ba 0.8870 0.1130 0.2500
Tm 0.3656 0.6344 0.5700
Tm 0.3656 0.6344 0.9300
Tm 0.6344 0.3656 0.0700
Tm 0.6344 0.3656 0.4300
O 0.0000 0.0000 0.0000
O 0.0000 0.0000 0.5000
O 0.2600 0.7400 0.1008
O 0.2600 0.7400 0.3992
O 0.4339 0.5661 0.7500
O 0.5661 0.4339 0.2500
O 0.7400 0.2600 0.6008
O 0.7400 0.2600 0.8992

D(E_F) = 0.0000 states/eV per atom
Crystal system = orthorhombic
Offset from the most stable computed form = 46 meV/atom
E_form (uncorrected) = -3.3530 eV per atom
Space-group type = Cmcm (63)